The following is a DFT calculation (PBE-GGA) of an optimized crystal structure of K2SrAg.

a = 5.3738 Å, b = 7.8964 Å, c = 4.7664 Å
α = 73.36°, β = 87.41°, γ = 109.06°
Last column: nearest neighbours and their distance in Å.
Atoms (fractional coordinates):
Ag 0.5000 0.5000 0.0000  4 Sr 3.51-3.67
K 0.0000 0.0000 0.0000  4 K 3.51-3.67
K 0.5000 0.0000 0.5000  4 K 3.51-3.67
Sr 0.0000 0.5000 0.5000  4 Ag 3.51-3.67

Summary:
Total magnetic moment: 0.00 μB/f.u.
E_form: 4.07 kcal/mol of atoms
Crystal system: monoclinic
Space-group type: C2/m
Energy above the most stable polymorph in this dataset: 207 meV per atom